i | {
  "formula": "HgMo2P",
  "functional": "PBE",
  "state": "relaxed",
  "lattice": [[3.396, 0.000, 0.000], [0.000, 4.946, 0.000], [0.000, 0.000, 8.023]],
  "species": ["Hg", "Hg", "Mo", "Mo", "Mo", "Mo", "P", "P"],
  "fractional_positions": [[0.000, 0.000, 0.000], [0.500, 0.500, 0.000], [0.000, 0.500, 0.302], [0.000, 0.500, 0.698], [0.500, 0.000, 0.302], [0.500, 0.000, 0.698], [0.000, 0.000, 0.500], [0.500, 0.500, 0.500]],
  "total_magnetization_mub_per_cell": 0.00,
  "dos_ef_per_ev_atom": 0.9057
}

ii | {
  "formula": "HgMo2P",
  "functional": "PBE",
  "state": "relaxed",
  "lattice": [[4.534, 0.000, 0.000], [0.000, 4.534, 0.000], [0.000, 0.000, 3.100]],
  "species": ["Hg", "Mo", "Mo", "P"],
  "fractional_positions": [[0.000, 0.000, 0.000], [0.000, 0.500, 0.500], [0.500, 0.000, 0.500], [0.500, 0.500, 0.000]],
  "total_magnetization_mub_per_cell": 0.00,
  "dos_ef_per_ev_atom": 0.9574
}

iii | {
  "formula": "HgMo2P",
  "functional": "PBE",
  "state": "relaxed",
  "lattice": [[4.648, 0.000, 0.000], [0.000, 2.978, 0.000], [-2.092, 0.000, 4.787]],
  "species": ["Hg", "Mo", "Mo", "P"],
  "fractional_positions": [[0.000, 0.000, 0.000], [0.500, 0.000, 0.500], [0.500, 0.500, 0.000], [0.000, 0.500, 0.500]],
  "total_magnetization_mub_per_cell": 0.00,
  "dos_ef_per_ev_atom": 1.2083
}

i (0.230 eV/atom below the next structure)